First-principles (PBE) data for TlCoRh after structural relaxation, as listed in Alexandria via LeMat-Bulk.

Cell lengths 4.333, 4.333, 3.022 Å; angles 90.00, 90.00, 120.00 degrees
Atoms (fractional coordinates):
Tl1 0.000 0.000 0.000
Co1 0.667 0.333 0.500
Rh1 0.333 0.667 0.500

Output
Energy relative to the elements ... 9.4 kcal/mol of atoms

First-principles (PBE) data for Tl2CoRh2 after structural relaxation, as listed in Alexandria via LeMat-Bulk.

Cell lengths 7.930, 7.930, 7.930 Å; angles 153.68, 153.68, 37.56 degrees
Atoms (fractional coordinates):
Tl1 0.101 0.101 0.000
Tl2 0.899 0.899 0.000
Co1 0.500 0.500 0.000
Rh1 0.250 0.750 0.500
Rh2 0.750 0.250 0.500

Output
Energy relative to the elements ... 15.9 kcal/mol of atoms

Number 1: total magnetic moment 2.08 μB/f.u.. Number 2: total magnetic moment 1.09 μB/f.u..